No. 1
Entry from Alexandria: an optimized crystal structure of ZnAg7Au12 (PBE).

Results
**DFT total energy**: -2.9877 eV/atom
**Crystal system**: trigonal
**ΔE_f**: 0.040 eV per atom

a b c (Å): 10.0222 10.0222 13.0482
angles (deg): 90.00 90.00 120.00
Space group R-3 (No. 148, hexagonal axes)
Asymmetric unit:
Zn  0.0000  0.0000  0.0000 (multiplicity 3)
Ag  0.0000  0.0000  0.5000 (multiplicity 3)
Ag  0.0483  0.1860  0.8005 (multiplicity 18)
Au  0.0375  0.4601  0.7096 (multiplicity 18)
Au  0.0511  0.5895  0.0869 (multiplicity 18)

---

No. 2
Entry from Alexandria: an optimized crystal structure of Pa2Te2AsN (PBE).

Results
**DFT total energy**: -7.4833 eV/atom
**ΔE_f (raw)**: -1.108 eV/atom
**Crystal system**: orthorhombic

a b c (Å): 6.8668 14.8372 5.7403
angles (deg): 90.00 90.00 90.00
Space group Ibam (No. 72)
Asymmetric unit:
Pa  0.1816  0.0902  0.0000 (multiplicity 8)
Te  0.2176  0.1886  0.5000 (multiplicity 8)
As  0.0000  0.5000  0.2500 (multiplicity 4)
N  0.0000  0.0000  0.2500 (multiplicity 4)

---

No. 3
Entry from Alexandria: an optimized crystal structure of Y4Ga12Tc (PBE).

Results
**DFT total energy**: -4.8115 eV/atom
**Crystal system**: cubic
**ΔE_f**: -0.544 eV per atom

a b c (Å): 8.6503 8.6503 8.6503
angles (deg): 90.00 90.00 90.00
Space group Im-3m (No. 229)
Asymmetric unit:
Y  0.2500  0.2500  0.2500 (multiplicity 8)
Ga  0.0000  0.0000  0.2911 (multiplicity 12)
Ga  0.0000  0.2500  0.5000 (multiplicity 12)
Tc  0.0000  0.0000  0.0000 (multiplicity 2)